# 1
The following is a PBE-GGA calculation of an optimized crystal structure of Ce3Sm3NbN8, from the Alexandria database.

As for the uncorrected formation energy: -1.3316 eV per atom. The total energy comes out at -8.57 eV/atom.

It has space group R-3m (No. 166, hexagonal axes), with a = 6.9820 Å, b = 6.9820 Å, c = 17.1759 Å, α = 90.00°, β = 90.00° and γ = 120.00°. Symmetry generates all atoms from Ce at (0.0000, 0.5000, 0.0000), Sm at (0.0000, 0.5000, 0.5000), Nb at (0.0000, 0.0000, 0.0000), N at (0.0000, 0.0000, 0.2518) and N at (0.0342, 0.5171, 0.7369).


# 2
The following is a PBE-GGA calculation of an optimized crystal structure of Sr2CeNbN4, from the Alexandria database.

As for the uncorrected formation energy: -1.0437 eV per atom. The total energy comes out at -7.63 eV/atom.

It has space group P2/m (No. 10), with a = 6.000 Å, b = 3.447 Å, c = 6.232 Å, α = 90.00°, β = 108.26° and γ = 90.00°. Symmetry generates all atoms from Sr at (0.000, 0.000, 0.000), Sr at (0.500, 0.500, 0.000), Ce at (0.000, 0.500, 0.500), Nb at (0.500, 0.000, 0.500), N at (0.262, 0.000, 0.699) and N at (0.281, 0.500, 0.299).


# 3
The following is a PBE-GGA calculation of an optimized crystal structure of SrCeNbN3, from the Alexandria database.

As for the uncorrected formation energy: -0.9722 eV per atom. The total energy comes out at -8.08 eV/atom.

It has space group P2_1/m (No. 11), with a = 7.688 Å, b = 3.646 Å, c = 8.074 Å, α = 90.00°, β = 95.12° and γ = 90.00°. Symmetry generates all atoms from Sr at (0.160, 0.250, 0.166), Ce at (0.384, 0.750, 0.840), Nb at (0.111, 0.250, 0.593), N at (0.129, 0.250, 0.835), N at (0.165, 0.750, 0.491) and N at (0.414, 0.750, 0.114).


# 4
The following is a PBE-GGA calculation of an optimized crystal structure of Sr2CeNb3N8, from the Alexandria database.

As for the uncorrected formation energy: -0.8220 eV per atom. The total energy comes out at -8.40 eV/atom.

It has space group R3m (No. 160, hexagonal axes), with a = 6.4936 Å, b = 6.4936 Å, c = 18.4502 Å, α = 90.00°, β = 90.00° and γ = 120.00°. Symmetry generates all atoms from Sr at (0.0000, 0.0000, 0.0000), Sr at (0.0000, 0.0000, 0.3562), Ce at (0.0000, 0.0000, 0.5423), Nb at (0.0005, 0.5003, 0.4952), N at (0.0000, 0.0000, 0.2240), N at (0.0000, 0.0000, 0.7748), N at (0.0102, 0.5051, 0.7778) and N at (0.1871, 0.3743, 0.5651).


# 5
The following is a PBE-GGA calculation of an optimized crystal structure of Ce3TaNb3N8, from the Alexandria database.

As for the uncorrected formation energy: -1.2503 eV per atom. The total energy comes out at -9.68 eV/atom.

It has space group R-3m (No. 166, hexagonal axes), with a = 6.4037 Å, b = 6.4037 Å, c = 16.8796 Å, α = 90.00°, β = 90.00° and γ = 120.00°. Symmetry generates all atoms from Ce at (0.0000, 0.5000, 0.0000), Ta at (0.0000, 0.0000, 0.5000), Nb at (0.0000, 0.5000, 0.5000), N at (0.0000, 0.0000, 0.2389) and N at (0.0072, 0.5036, 0.2371).


# 6
The following is a PBE-GGA calculation of an optimized crystal structure of CeTaNbN3, from the Alexandria database.

As for the uncorrected formation energy: -1.3075 eV per atom. The total energy comes out at -10.11 eV/atom.

It has space group P2_1/m (No. 11), with a = 5.615 Å, b = 3.189 Å, c = 8.503 Å, α = 90.00°, β = 102.81° and γ = 90.00°. Symmetry generates all atoms from Ce at (0.143, 0.250, 0.195), Ta at (0.266, 0.750, 0.549), Nb at (0.379, 0.250, 0.859), N at (0.059, 0.250, 0.647), N at (0.246, 0.750, 0.994) and N at (0.464, 0.750, 0.356).